(1)
DFT (PBE) results for a relaxed Sc2FeHRu crystal.

```
Sc2FeHRu
1.0
4.9923 0.0000 0.0000
0.0000 4.9923 0.0000
0.0000 0.0000 3.2858
Sc Fe H Ru
2 1 1 1
direct
0.0000 0.5000 0.0000 Sc
0.5000 0.0000 0.0000 Sc
0.0000 0.0000 0.5000 Fe
0.5000 0.5000 0.5000 H
0.5000 0.5000 0.0000 Ru
```

## Properties
* E above lowest polymorph: 614 meV per atom

***

(2)
DFT (PBE) results for a relaxed Sc2FeHRu crystal.

```
Sc2FeHRu
1.0
4.4921 0.0000 0.0000
0.0000 4.4921 0.0000
0.0000 0.0000 3.2859
Sc Fe H Ru
2 1 1 1
direct
0.0000 0.5000 0.0000 Sc
0.5000 0.0000 0.0000 Sc
0.0000 0.0000 0.5000 Fe
0.0000 0.0000 0.0000 H
0.5000 0.5000 0.5000 Ru
```

## Properties
* E above lowest polymorph: 0 meV per atom

***

(3)
DFT (PBE) results for a relaxed Fe2SiHRu crystal.

```
Fe2SiHRu
1.0
3.6219 0.0000 0.0000
0.0000 3.6219 0.0000
0.0000 0.0000 3.9194
Fe Si H Ru
2 1 1 1
direct
0.0000 0.5000 0.0000 Fe
0.5000 0.0000 0.0000 Fe
0.0000 0.0000 0.5000 Si
0.5000 0.5000 0.0000 H
0.5000 0.5000 0.5000 Ru
```

## Properties
* calculated total energy: -35.66 eV per cell

***

(4)
DFT (PBE) results for a relaxed FeSiHRu2 crystal.

```
FeSiHRu2
1.0
3.9521 0.0000 0.0000
0.0000 3.9521 0.0000
0.0000 0.0000 3.4492
Fe Si H Ru
1 1 1 2
direct
0.0000 0.0000 0.0000 Fe
0.5000 0.5000 0.0000 Si
0.0000 0.0000 0.5000 H
0.0000 0.5000 0.5000 Ru
0.5000 0.0000 0.5000 Ru
```

## Properties
* calculated total energy: -36.27 eV per cell

***

(5)
DFT (PBE) results for a relaxed Fe2SnHRu crystal.

```
Fe2SnHRu
1.0
3.8740 0.0000 0.0000
0.0000 3.8740 0.0000
0.0000 0.0000 3.9935
Fe Sn H Ru
2 1 1 1
direct
0.0000 0.5000 0.0000 Fe
0.5000 0.0000 0.0000 Fe
0.0000 0.0000 0.5000 Sn
0.5000 0.5000 0.0000 H
0.5000 0.5000 0.5000 Ru
```

## Properties
* calculated total energy: -33.33 eV per cell

***

(6)
DFT (PBE) results for a relaxed TaFeHRu2 crystal.

```
TaFeHRu2
1.0
3.9374 0.0000 0.0000
0.0000 3.9374 0.0000
0.0000 0.0000 3.7785
Ta Fe H Ru
1 1 1 2
direct
0.0000 0.0000 0.0000 Ta
0.5000 0.5000 0.0000 Fe
0.5000 0.5000 0.5000 H
0.0000 0.5000 0.5000 Ru
0.5000 0.0000 0.5000 Ru
```

## Properties
* E above lowest polymorph: 0 meV per atom

***

(7)
DFT (PBE) results for a relaxed TaFe2HRu crystal.

```
TaFe2HRu
1.0
3.7193 0.0000 0.0000
0.0000 3.7193 0.0000
0.0000 0.0000 3.9879
Ta Fe H Ru
1 2 1 1
direct
0.0000 0.0000 0.0000 Ta
0.0000 0.5000 0.5000 Fe
0.5000 0.0000 0.5000 Fe
0.0000 0.0000 0.5000 H
0.5000 0.5000 0.0000 Ru
```

## Properties
* E above lowest polymorph: 41 meV per atom

***

(8)
DFT (PBE) results for a relaxed TaFeHRu2 crystal.

```
TaFeHRu2
1.0
4.3700 0.0000 0.0000
0.0000 4.3700 0.0000
0.0000 0.0000 4.5434
Ta Fe H Ru
1 1 1 2
direct
0.0000 0.0000 0.0000 Ta
0.0000 0.0000 0.5000 Fe
0.5000 0.5000 0.0000 H
0.0000 0.5000 0.5000 Ru
0.5000 0.0000 0.5000 Ru
```

## Properties
* E above lowest polymorph: 1876 meV per atom

***

(9)
DFT (PBE) results for a relaxed TaFeHRu2 crystal.

```
TaFeHRu2
1.0
3.8767 0.0000 0.0000
0.0000 3.8767 0.0000
0.0000 0.0000 3.9603
Ta Fe H Ru
1 1 1 2
direct
0.0000 0.0000 0.0000 Ta
0.5000 0.5000 0.0000 Fe
0.0000 0.0000 0.5000 H
0.0000 0.5000 0.5000 Ru
0.5000 0.0000 0.5000 Ru
```

## Properties
* E above lowest polymorph: 97 meV per atom

***

(10)
DFT (PBE) results for a relaxed Ta2FeHRu crystal.

```
Ta2FeHRu
1.0
4.2269 0.0000 0.0000
0.0000 4.2269 0.0000
0.0000 0.0000 3.5882
Ta Fe H Ru
2 1 1 1
direct
0.0000 0.5000 0.0000 Ta
0.5000 0.0000 0.0000 Ta
0.0000 0.0000 0.5000 Fe
0.5000 0.5000 0.0000 H
0.5000 0.5000 0.5000 Ru
```

## Properties
* E above lowest polymorph: 97 meV per atom

***

(11)
DFT (PBE) results for a relaxed Ta2FeHRu crystal.

```
Ta2FeHRu
1.0
4.2312 0.0000 0.0000
0.0000 4.2312 0.0000
0.0000 0.0000 3.4925
Ta Fe H Ru
2 1 1 1
direct
0.0000 0.5000 0.0000 Ta
0.5000 0.0000 0.0000 Ta
0.0000 0.0000 0.5000 Fe
0.0000 0.0000 0.0000 H
0.5000 0.5000 0.5000 Ru
```

## Properties
* E above lowest polymorph: 0 meV per atom

***

(12)
DFT (PBE) results for a relaxed TaFe2HRu crystal.

```
TaFe2HRu
1.0
3.7694 0.0000 0.0000
0.0000 3.7694 0.0000
0.0000 0.0000 3.8548
Ta Fe H Ru
1 2 1 1
direct
0.0000 0.0000 0.0000 Ta
0.0000 0.5000 0.5000 Fe
0.5000 0.0000 0.5000 Fe
0.5000 0.5000 0.5000 H
0.5000 0.5000 0.0000 Ru
```

## Properties
* E above lowest polymorph: 0 meV per atom